1.
An optimized crystal structure of La6PrNd. Source: the Alexandria database, functional GGA-PBE.

Geometry as extended XYZ:
```
8
Lattice="5.248 0.000 0.000 0.000 5.248 0.000 0.000 0.000 10.497" Properties=species:S:1:pos:R:3 pbc="T T T"
Nd 0.000 0.000 5.249
La 2.624 0.000 7.870
La 0.000 2.624 7.870
La 0.000 2.624 2.627
La 2.624 2.624 0.000
La 2.624 0.000 2.627
La 2.624 2.624 5.249
Pr 0.000 0.000 0.000
```

Values from the calculation:
- N(E_F): 12.78 states/eV/cell
- Volume: 289.1 Å³/f.u.
- E_form: 1.5 meV/atom
- Calculated density: 6.42 g cm⁻³

2.
An optimized crystal structure of La5Pr2Nd5. Source: the Alexandria database, functional GGA-PBE.

Geometry as extended XYZ:
```
12
Lattice="0.824 -4.859 1.822 -1.724 -6.463 -8.884 8.188 -1.150 0.807" Properties=species:S:1:pos:R:3 pbc="T T T"
Pr 1.057 -6.662 -3.093
Pr 6.230 -5.811 -3.162
Nd 6.002 -4.007 1.753
Nd 6.764 -9.138 -4.699
Nd 0.524 -3.335 -1.555
Nd 1.285 -8.465 -8.007
Nd 3.232 -3.807 -4.038
La 3.765 -7.138 -5.588
La 6.544 -7.334 0.211
La 3.522 -5.334 -0.666
La 0.744 -5.138 -6.466
La 0.000 0.000 0.000
```

Values from the calculation:
- N(E_F): 23.05 states/eV/cell
- Volume: 434.0 Å³/f.u.
- E_form: 14.3 meV/atom
- Calculated density: 6.50 g cm⁻³

3.
An optimized crystal structure of LaPr4Nd2. Source: the Alexandria database, functional GGA-PBE.

Geometry as extended XYZ:
```
7
Lattice="-1.079 -4.279 -1.654 4.497 -0.650 -1.253 0.545 -2.156 11.941" Properties=species:S:1:pos:R:3 pbc="T T T"
Pr 3.340 -5.809 6.138
Pr 0.623 -1.276 2.897
Pr 0.587 -4.450 4.417
Pr 3.375 -2.635 4.618
Nd 2.156 -3.382 0.630
Nd 1.806 -3.703 8.405
La 0.000 0.000 0.000
```

Values from the calculation:
- N(E_F): 9.65 states/eV/cell
- Volume: 259.5 Å³/f.u.
- E_form: 215.8 meV/atom
- Calculated density: 6.34 g cm⁻³
- ΔE to the lowest computed polymorph: 40 meV/atom

4.
An optimized crystal structure of La2Pr8Nd. Source: the Alexandria database, functional GGA-PBE.

Geometry as extended XYZ:
```
11
Lattice="5.595 0.169 -0.131 -0.332 8.101 -3.229 0.164 0.906 8.679" Properties=species:S:1:pos:R:3 pbc="T T T"
Pr 5.482 6.211 3.525
Pr 5.635 2.906 5.573
Pr 2.838 0.660 2.433
Pr 2.707 2.563 -0.716
Pr 2.589 8.573 2.925
Pr -0.056 3.023 1.829
Pr 5.387 6.489 -0.356
Pr 2.720 6.674 6.067
La 2.772 3.766 4.083
La 2.655 5.467 1.270
Nd 0.002 0.029 0.017
```

Values from the calculation:
- N(E_F): 18.34 states/eV/cell
- Volume: 410.4 Å³/f.u.
- E_form: 150.2 meV/atom
- Calculated density: 6.27 g cm⁻³
- ΔE to the lowest computed polymorph: 15 meV/atom

Q: What is the volume in the fourth record?
A: 410.4 Å³/f.u.

Q: Number 1 is which compound?
A: La6PrNd

Q: Which of these has the lowest E_form?
A: La6PrNd